P | CoPtI2N: relaxed, PBE.

a = 5.699 Å, b = 5.699 Å, c = 3.713 Å
α = 90.00°, β = 90.00°, γ = 90.00°
Fractional positions:
Co: 0.000 0.000 0.000
Pt: 0.500 0.500 0.500
I: 0.000 0.500 0.500
I: 0.500 0.000 0.500
N: 0.500 0.500 0.000

As for the space-group type: No. 123. The calculation puts the density of states at the Fermi level at 1.21 states/eV per atom.

Q | CoPtI2N: relaxed, PBE.

a = 5.339 Å, b = 5.339 Å, c = 3.413 Å
α = 90.00°, β = 90.00°, γ = 90.00°
Fractional positions:
Co: 0.000 0.000 0.000
Pt: 0.500 0.500 0.500
I: 0.000 0.500 0.000
I: 0.500 0.000 0.000
N: 0.000 0.000 0.500

As for the space-group type: No. 123. The calculation puts the density of states at the Fermi level at 1.06 states/eV per atom.

Going by the energies, Q is most stable and the next is 0.213 eV/atom up.